Computed, not measured: a relaxed structure of Zn2Cu2Ag at the GGA-PBE level of DFT. Values from VASP.

Calculated values
DFT formation energy: -0.02 eV per atom
Final energy: -2.742 eV per atom

Cell and atoms, written as Quantum ESPRESSO input:
```
&SYSTEM
  ibrav = 0, nat = 10, ntyp = 3
/
ATOMIC_SPECIES
Zn 65.41 Zn.upf
Cu 63.55 Cu.upf
Ag 107.87 Ag.upf
ATOMIC_POSITIONS crystal
Zn 0.171 0.329 0.000
Zn 0.329 0.829 0.000
Zn 0.671 0.171 0.000
Zn 0.829 0.671 0.000
Cu 0.125 0.625 0.500
Cu 0.375 0.125 0.500
Cu 0.625 0.875 0.500
Cu 0.875 0.375 0.500
Ag 0.000 0.000 0.500
Ag 0.500 0.500 0.500
CELL_PARAMETERS angstrom
7.132 0.000 0.000
0.000 7.132 0.000
0.000 0.000 2.820
```

***

Computed, not measured: a relaxed structure of K2BeTl2 at the GGA-PBE level of DFT. Values from VASP.

Calculated values
DFT formation energy: 0.65 eV per atom
Final energy: -1.480 eV per atom

Cell and atoms, written as Quantum ESPRESSO input:
```
&SYSTEM
  ibrav = 0, nat = 10, ntyp = 3
/
ATOMIC_SPECIES
K 39.10 K.upf
Be 9.01 Be.upf
Tl 204.38 Tl.upf
ATOMIC_POSITIONS crystal
K 0.157 0.343 0.000
K 0.343 0.843 0.000
K 0.657 0.157 0.000
K 0.843 0.657 0.000
Be 0.000 0.000 0.000
Be 0.500 0.500 0.000
Tl 0.147 0.647 0.500
Tl 0.353 0.147 0.500
Tl 0.647 0.853 0.500
Tl 0.853 0.353 0.500
CELL_PARAMETERS angstrom
8.633 0.000 0.000
0.000 8.633 0.000
0.000 0.000 5.261
```

***

Computed, not measured: a relaxed structure of CaNdBeZn at the GGA-PBE level of DFT. Values from VASP.

Calculated values
DFT formation energy: 0.00 eV per atom
Final energy: -2.946 eV per atom

Cell and atoms, written as Quantum ESPRESSO input:
```
&SYSTEM
  ibrav = 0, nat = 4, ntyp = 4
/
ATOMIC_SPECIES
Ca 40.08 Ca.upf
Nd 144.24 Nd.upf
Be 9.01 Be.upf
Zn 65.41 Zn.upf
ATOMIC_POSITIONS crystal
Ca 0.000 0.000 0.000
Nd 0.500 0.500 0.500
Be 0.750 0.750 0.750
Zn 0.250 0.250 0.250
CELL_PARAMETERS angstrom
0.000 3.600 3.600
3.600 0.000 3.600
3.600 3.600 0.000
```

***

Q: Which value of final energy does entry 1 give?
A: -2.742 eV per atom

***

Q: What is the final energy in the second record?
A: -1.480 eV per atom